No. 1
The following is a DFT calculation (PBE) of crystalline Th7Fe2Bi3 at its relaxed geometry.

Output
DFT formation energy ... -302 meV per atom
Magnetization ... 0.0 μB/f.u.
Space group ... I4/mmm, No. 139

abc: 5.0049 5.0049 14.9283
angles: 99.65 99.65 89.98
Closest atoms and distances in Å follow each position.
Element x y z (fractional)
1 Th 0.5985 0.0985 0.1970  2 Fe 2.50
2 Bi 0.3144 0.3144 0.6289  9 Th 3.36-3.56
3 Th 0.4015 0.9015 0.8030  2 Fe 2.50
4 Fe 0.9022 0.9022 0.8044  4 Th 2.50
5 Th 0.9015 0.4015 0.8030  2 Fe 2.50
6 Bi 0.6856 0.6856 0.3711  9 Th 3.36-3.56
7 Th 0.0985 0.5985 0.1970  2 Fe 2.50
8 Bi 0.5000 0.5000 0.0000  12 Th 3.54-3.80
9 Fe 0.0978 0.0978 0.1956  4 Th 2.50
10 Th 0.8013 0.8013 0.6025  1 Fe 2.93
11 Th 0.1987 0.1987 0.3975  1 Fe 2.93
12 Th 0.0000 0.0000 0.0000  2 Fe 2.84

=====

No. 2
The following is a DFT calculation (PBE) of crystalline Ho2Ga3Tc at its relaxed geometry.

Output
DFT formation energy ... -275 meV per atom
Distance to the lowest polymorph of the same formula ... 5.86 kcal/mol of atoms
Magnetization ... 0.0 μB/f.u.
Space group ... Immm, No. 71

abc: 4.6412 5.3864 6.1315
angles: 116.06 112.24 90.00
Closest atoms and distances in Å follow each position.
Element x y z (fractional)
1 Ga 0.6242 0.6242 0.2483  1 Ga 2.48, 2 Tc 2.63
2 Ho 0.6999 0.1999 0.3998  6 Ga 2.80-3.06, 1 Tc 3.00
3 Ga 0.3758 0.3758 0.7517  1 Ga 2.48, 2 Tc 2.63
4 Ga 0.0000 0.0000 0.0000  2 Tc 2.69
5 Tc 0.0000 0.5000 0.0000  6 Ga 2.63-2.69
6 Ho 0.3001 0.8001 0.6002  6 Ga 2.80-3.06, 1 Tc 3.00

=====

No. 3
The following is a DFT calculation (PBE) of crystalline GeBiS2 at its relaxed geometry.

Output
Distance to the lowest polymorph of the same formula ... 3.37 kcal/mol of atoms
Magnetization ... 0.0 μB/f.u.
Space group ... I-42d, No. 122
Uncorrected formation energy ... 1.8 meV/atom

abc: 7.2810 7.2810 6.2661
angles: 54.48 54.48 90.00
Closest atoms and distances in Å follow each position.
Element x y z (fractional)
1 Bi 0.0000 0.0000 0.0000  4 S 2.82
2 Bi 0.7500 0.2500 0.5000  4 S 2.82
3 S 0.8750 0.8548 0.7500  2 Ge 2.63, 2 Bi 2.82
4 Ge 0.5000 0.5000 0.0000  4 S 2.63
5 S 0.1452 0.6250 0.2500  2 Ge 2.63, 2 Bi 2.82
6 S 0.3750 0.3952 0.7500  2 Ge 2.63, 2 Bi 2.82
7 Ge 0.2500 0.7500 0.5000  4 S 2.63
8 S 0.6048 0.1250 0.2500  2 Ge 2.63, 2 Bi 2.82